1.
# PBE-GGA RbCoIrS3, optimized geometry
data_RbCoIrS3
_chemical_formula_sum 'Rb2 Co2 Ir2 S6'
_space_group_name_H-M_alt 'P 1 21/m 1'
_space_group_IT_number 11
_cell_length_a 8.342
_cell_length_b 3.676
_cell_length_c 9.270
_cell_angle_alpha 90.00
_cell_angle_beta 115.75
_cell_angle_gamma 90.00
loop_
_space_group_symop_operation_xyz
'x,y,z'
'-x,-y,-z'
'-x,y+1/2,-z'
'x,-y+1/2,z'
loop_
_atom_site_label
_atom_site_fract_x
_atom_site_fract_y
_atom_site_fract_z
Rb1 0.238 0.250 0.258
Co1 0.085 0.250 0.601
Ir1 0.318 0.750 0.844
S1 0.132 0.250 0.855
S2 0.205 0.750 0.552
S3 0.484 0.750 0.131
# - Formation energy without anion corrections: -0.5823 eV/atom
# - Magnetization: 1.65 μB per formula unit
# - E_tot: -5.4684 eV/atom

---

2.
# PBE-GGA RbCoTc2Ir, optimized geometry
data_RbCoTc2Ir
_chemical_formula_sum 'Rb1 Co1 Tc2 Ir1'
_space_group_name_H-M_alt 'P 4/m m m'
_space_group_IT_number 123
_space_group_name_Hall '-P 4 2'
_cell_length_a 4.766
_cell_length_b 4.766
_cell_length_c 6.062
_cell_angle_alpha 90.00
_cell_angle_beta 90.00
_cell_angle_gamma 90.00
loop_
_atom_site_label
_atom_site_fract_x
_atom_site_fract_y
_atom_site_fract_z
Rb1 0.000 0.000 0.000
Co1 0.500 0.500 0.000
Tc1 0.000 0.500 0.500
Ir1 0.000 0.000 0.500
# - Magnetization: 5.56 μB per formula unit
# - E_tot: -5.4294 eV/atom

---

3.
# PBE-GGA Co2ReIr, optimized geometry
data_Co2ReIr
_chemical_formula_sum 'Co4 Re2 Ir2'
_space_group_name_H-M_alt 'C 1 2/m 1'
_space_group_IT_number 12
_cell_length_a 8.568
_cell_length_b 2.669
_cell_length_c 4.613
_cell_angle_alpha 90.00
_cell_angle_beta 100.39
_cell_angle_gamma 90.00
loop_
_space_group_symop_operation_xyz
'x,y,z'
'-x,-y,-z'
'-x,y,-z'
'x,-y,z'
'x+1/2,y+1/2,z'
'-x+1/2,-y+1/2,-z'
'-x+1/2,y+1/2,-z'
'x+1/2,-y+1/2,z'
loop_
_atom_site_label
_atom_site_fract_x
_atom_site_fract_y
_atom_site_fract_z
Co1 0.250 0.000 0.237
Re1 0.000 0.500 0.000
Ir1 0.000 0.000 0.500
# - Magnetization: 2.29 μB per formula unit
# - E_tot: -8.8279 eV/atom

---

4.
# PBE-GGA CoReIr4, optimized geometry
data_CoReIr4
_chemical_formula_sum 'Co4 Re4 Ir16'
_space_group_name_H-M_alt 'F -4 3 m'
_space_group_IT_number 216
_space_group_name_Hall 'F -4 2 3'
_cell_length_a 7.185
_cell_length_b 7.185
_cell_length_c 7.185
_cell_angle_alpha 90.00
_cell_angle_beta 90.00
_cell_angle_gamma 90.00
loop_
_atom_site_label
_atom_site_fract_x
_atom_site_fract_y
_atom_site_fract_z
Co1 0.000 0.000 0.000
Re1 0.250 0.250 0.250
Ir1 0.125 0.125 0.625
# - Magnetization: 1.49 μB per formula unit
# - E_tot: -8.5292 eV/atom
# - E above lowest polymorph: 659 meV/atom

---

5.
# PBE-GGA CoReIr2, optimized geometry
data_CoReIr2
_chemical_formula_sum 'Co2 Re2 Ir4'
_space_group_name_H-M_alt 'C 1 m 1'
_space_group_IT_number 8
_cell_length_a 8.897
_cell_length_b 2.705
_cell_length_c 4.659
_cell_angle_alpha 90.00
_cell_angle_beta 100.11
_cell_angle_gamma 90.00
loop_
_space_group_symop_operation_xyz
'x,y,z'
'x,-y,z'
'x+1/2,y+1/2,z'
'x+1/2,-y+1/2,z'
loop_
_atom_site_label
_atom_site_fract_x
_atom_site_fract_y
_atom_site_fract_z
Co1 0.000 0.000 0.000
Re1 0.249 0.500 0.250
Ir1 0.000 0.500 0.491
Ir2 0.250 0.000 0.765
# - Magnetization: 0.99 μB per formula unit
# - E_tot: -9.3358 eV/atom
# - E above lowest polymorph: 80 meV/atom

---

6.
# PBE-GGA CoReIr2, optimized geometry
data_CoReIr2
_chemical_formula_sum 'Co3 Re3 Ir6'
_space_group_name_H-M_alt 'R -3 m'
_space_group_IT_number 166
_space_group_name_Hall '-R 3 2"'
_cell_length_a 2.7351
_cell_length_b 2.7351
_cell_length_c 25.8362
_cell_angle_alpha 90.00
_cell_angle_beta 90.00
_cell_angle_gamma 120.00
loop_
_atom_site_label
_atom_site_fract_x
_atom_site_fract_y
_atom_site_fract_z
Co1 0.0000 0.0000 0.0000
Re1 0.0000 0.0000 0.5000
Ir1 0.0000 0.0000 0.2520
# - Magnetization: 1.64 μB per formula unit
# - E_tot: -9.3238 eV/atom
# - E above lowest polymorph: 91 meV/atom

---

Ρ list, top to bottom, in g/cm3: 5.61; 6.42; 15.89; 18.16; 18.94; 18.74